Record 1
Compound: Ti3TeAu
Source: Alexandria via LeMat-Bulk
Functional: GGA-PBE
Structure: relaxed

POSCAR file:
```
Ti3TeAu
1.0
-1.541 4.343 1.805
-3.464 0.237 -3.526
-3.181 -2.361 2.966
Ti Au Te
3 1 1
Direct
0.000 0.500 0.000 Ti
0.000 0.000 0.500 Ti
0.500 0.000 0.000 Ti
0.000 0.000 0.000 Au
0.500 0.500 0.500 Te
```

Output
Raw formation energy: 0.459 eV per atom
Crystal system: cubic
Polymorph energy (0 for the lowest one): 0.0000 eV/atom
Final energy: -5.562 eV/atom

---

Record 2
Compound: TiTe2Au
Source: Alexandria via LeMat-Bulk
Functional: GGA-PBE
Structure: relaxed

POSCAR file:
```
TiTe2Au
1.0
-1.451 -0.781 -3.467
-5.845 -1.188 2.716
0.489 8.809 -0.064
Ti Au Te
2 2 4
Direct
0.543 0.919 0.571 Ti
0.043 0.419 0.571 Ti
0.042 0.419 0.071 Au
0.042 0.919 0.071 Au
0.138 0.815 0.773 Te
0.436 0.522 0.369 Te
0.947 0.022 0.369 Te
0.649 0.315 0.773 Te
```

Output
Raw formation energy: -0.375 eV per atom
Crystal system: monoclinic
Polymorph energy (0 for the lowest one): 0.0393 eV/atom
Final energy: -4.739 eV/atom

---

Record 3
Compound: TiTe2Au
Source: Alexandria via LeMat-Bulk
Functional: GGA-PBE
Structure: relaxed

POSCAR file:
```
TiTe2Au
1.0
6.325 0.000 0.000
0.000 6.325 0.000
3.163 3.163 6.303
Au Ti Te
2 2 4
Direct
0.750 0.250 0.500 Au
0.000 0.000 0.000 Au
0.500 0.500 0.000 Ti
0.250 0.750 0.500 Ti
0.615 0.125 0.250 Te
0.875 0.865 0.750 Te
0.135 0.625 0.250 Te
0.375 0.385 0.750 Te
```

Output
Raw formation energy: -0.223 eV per atom
Crystal system: tetragonal
Polymorph energy (0 for the lowest one): 0.1913 eV/atom
Final energy: -4.586 eV/atom

---

Copy entry 2 word for word.
Compound: TiTe2Au
Source: Alexandria via LeMat-Bulk
Functional: GGA-PBE
Structure: relaxed

POSCAR file:
```
TiTe2Au
1.0
-1.451 -0.781 -3.467
-5.845 -1.188 2.716
0.489 8.809 -0.064
Ti Au Te
2 2 4
Direct
0.543 0.919 0.571 Ti
0.043 0.419 0.571 Ti
0.042 0.419 0.071 Au
0.042 0.919 0.071 Au
0.138 0.815 0.773 Te
0.436 0.522 0.369 Te
0.947 0.022 0.369 Te
0.649 0.315 0.773 Te
```

Output
Raw formation energy: -0.375 eV per atom
Crystal system: monoclinic
Polymorph energy (0 for the lowest one): 0.0393 eV/atom
Final energy: -4.739 eV/atom

---

> Number 1 is which compound?

Ti3TeAu

---

> Which formula does entry 3 have?

TiTe2Au